CsSr2PuI8 | PBE-GGA | relaxed

Values from the calculation:
* magnetization: 5.00 μB per formula unit
* electronic total energy: -47.97 eV per formula unit
* uncorrected formation energy: -1.418 eV/atom

```
data_CsSr2PuI8
_cell_length_a 7.634
_cell_length_b 7.860
_cell_length_c 10.250
_cell_angle_alpha 89.96
_cell_angle_beta 89.92
_cell_angle_gamma 89.73
_symmetry_space_group_name_H-M 'P 1'
_symmetry_Int_Tables_number 1
_symmetry_space_group_name_Hall 'P 1'
loop_
_atom_site_label
_atom_site_type_symbol
_atom_site_fract_x
_atom_site_fract_y
_atom_site_fract_z
_atom_site_occupancy
Cs1 Cs 0.000 0.000 0.000 1
Sr1 Sr 0.500 0.500 0.251 1
Sr2 Sr 0.500 0.500 0.749 1
Pu1 Pu 0.000 0.000 0.500 1
I1 I 0.248 0.842 0.705 1
I2 I 0.249 0.843 0.294 1
I3 I 0.252 0.326 0.500 1
I4 I 0.262 0.393 0.000 1
I5 I 0.738 0.607 0.000 1
I6 I 0.748 0.674 0.500 1
I7 I 0.751 0.157 0.706 1
I8 I 0.752 0.158 0.295 1
```

***

SnPdPt | PBE-GGA | relaxed

Values from the calculation:
* magnetization: 0.00 μB per formula unit
* electronic total energy: -16.26 eV per formula unit
* ΔE_f: -340 meV/atom
* energy above the most stable polymorph in this dataset: 0.43 eV per formula unit

```
data_SnPdPt
_cell_length_a 6.239
_cell_length_b 6.239
_cell_length_c 6.239
_cell_angle_alpha 90.00
_cell_angle_beta 90.00
_cell_angle_gamma 90.00
_symmetry_space_group_name_H-M 'P 1'
_symmetry_Int_Tables_number 1
_symmetry_space_group_name_Hall 'P 1'
loop_
_atom_site_label
_atom_site_type_symbol
_atom_site_fract_x
_atom_site_fract_y
_atom_site_fract_z
_atom_site_occupancy
Sn1 Sn 0.000 0.000 0.000 1
Sn2 Sn 0.000 0.500 0.500 1
Sn3 Sn 0.500 0.000 0.500 1
Sn4 Sn 0.500 0.500 0.000 1
Pd1 Pd 0.000 0.000 0.500 1
Pd2 Pd 0.000 0.500 0.000 1
Pd3 Pd 0.500 0.000 0.000 1
Pd4 Pd 0.500 0.500 0.500 1
Pt1 Pt 0.250 0.250 0.250 1
Pt2 Pt 0.250 0.750 0.750 1
Pt3 Pt 0.750 0.250 0.750 1
Pt4 Pt 0.750 0.750 0.250 1
```

***

CaBe2Ni | PBE-GGA | relaxed

Values from the calculation:
* magnetization: 0.00 μB per formula unit
* electronic total energy: -13.86 eV per formula unit
* ΔE_f: 343 meV/atom
* energy above the most stable polymorph in this dataset: 2.00 eV per formula unit

```
data_CaBe2Ni
_cell_length_a 4.069
_cell_length_b 4.069
_cell_length_c 6.713
_cell_angle_alpha 90.00
_cell_angle_beta 90.00
_cell_angle_gamma 90.00
_symmetry_space_group_name_H-M 'P 1'
_symmetry_Int_Tables_number 1
_symmetry_space_group_name_Hall 'P 1'
loop_
_atom_site_label
_atom_site_type_symbol
_atom_site_fract_x
_atom_site_fract_y
_atom_site_fract_z
_atom_site_occupancy
Ca1 Ca 0.000 0.000 0.000 1
Ca2 Ca 0.500 0.500 0.500 1
Be1 Be 0.000 0.500 0.250 1
Be2 Be 0.000 0.500 0.750 1
Be3 Be 0.500 0.000 0.250 1
Be4 Be 0.500 0.000 0.750 1
Ni1 Ni 0.000 0.000 0.500 1
Ni2 Ni 0.500 0.500 0.000 1
```

***

Repeat the first record exactly.
CsSr2PuI8 | PBE-GGA | relaxed

Values from the calculation:
* magnetization: 5.00 μB per formula unit
* electronic total energy: -47.97 eV per formula unit
* uncorrected formation energy: -1.418 eV/atom

```
data_CsSr2PuI8
_cell_length_a 7.634
_cell_length_b 7.860
_cell_length_c 10.250
_cell_angle_alpha 89.96
_cell_angle_beta 89.92
_cell_angle_gamma 89.73
_symmetry_space_group_name_H-M 'P 1'
_symmetry_Int_Tables_number 1
_symmetry_space_group_name_Hall 'P 1'
loop_
_atom_site_label
_atom_site_type_symbol
_atom_site_fract_x
_atom_site_fract_y
_atom_site_fract_z
_atom_site_occupancy
Cs1 Cs 0.000 0.000 0.000 1
Sr1 Sr 0.500 0.500 0.251 1
Sr2 Sr 0.500 0.500 0.749 1
Pu1 Pu 0.000 0.000 0.500 1
I1 I 0.248 0.842 0.705 1
I2 I 0.249 0.843 0.294 1
I3 I 0.252 0.326 0.500 1
I4 I 0.262 0.393 0.000 1
I5 I 0.738 0.607 0.000 1
I6 I 0.748 0.674 0.500 1
I7 I 0.751 0.157 0.706 1
I8 I 0.752 0.158 0.295 1
```

***

> What is the magnetization in the second record?

0.00 μB per formula unit

***

> Look up the electronic total energy of the third one.

-13.86 eV per formula unit